No. 1
Here is SnOsO2 after structural relaxation from Alexandria. Energies are from PBE-GGA.

Results
total energy	-6.64	eV per atom
DOS at the Fermi energy	2.40	states/eV/f.u.
symmetry	No. 166

Unit cell a=7.6739 b=7.6739 c=7.6739 alpha=22.07 beta=22.07 gamma=22.07
Closest atoms and distances in Å follow each position.
Atoms (fractional coordinates):
Sn 0.0000 0.0000 0.0000  6 O 2.56
Os 0.5000 0.5000 0.5000  2 O 1.82
O 0.4188 0.4188 0.4188  1 Os 1.82
O 0.5812 0.5812 0.5812  1 Os 1.82

No. 2
Here is BP after structural relaxation from Alexandria. Energies are from PBE-GGA.

Results
DOS at the Fermi energy	0.59	states/eV/f.u.
formation energy	0.93	eV per atom
symmetry	No. 65

Unit cell a=2.3154 b=2.3154 c=4.0258 alpha=90.00 beta=90.00 gamma=98.15
Closest atoms and distances in Å follow each position.
Atoms (fractional coordinates):
B 0.0000 0.0000 0.0000  2 P 2.01
P 0.0000 0.0000 0.5000  2 B 2.01

No. 3
Here is HoGaIrRh after structural relaxation from Alexandria. Energies are from PBE-GGA.

Results
DOS at the Fermi energy	0.79	states/eV/f.u.
formation energy	-0.72	eV per atom
symmetry	No. 216

Unit cell a=4.5679 b=4.5679 c=4.5679 alpha=60.00 beta=60.00 gamma=60.00
Closest atoms and distances in Å follow each position.
Atoms (fractional coordinates):
Ho 0.0000 0.0000 0.0000  4 Ir 2.80, 4 Rh 2.80
Ga 0.5000 0.5000 0.5000  4 Ir 2.80, 4 Rh 2.80
Ir 0.7500 0.7500 0.7500  4 Ho 2.80, 4 Ga 2.80
Rh 0.2500 0.2500 0.2500  4 Ho 2.80, 4 Ga 2.80

No. 4
Here is ZrTiReAg after structural relaxation from Alexandria. Energies are from PBE-GGA.

Results
DOS at the Fermi energy	4.13	states/eV/f.u.
formation energy	-0.07	eV per atom
symmetry	No. 216

Unit cell a=4.6385 b=4.6385 c=4.6385 alpha=60.00 beta=60.00 gamma=60.00
Closest atoms and distances in Å follow each position.
Atoms (fractional coordinates):
Zr 0.0000 0.0000 0.0000  4 Re 2.84, 4 Ag 2.84
Ti 0.5000 0.5000 0.5000  4 Re 2.84, 4 Ag 2.84
Re 0.7500 0.7500 0.7500  4 Zr 2.84, 4 Ti 2.84
Ag 0.2500 0.2500 0.2500  4 Zr 2.84, 4 Ti 2.84